Model one:
The following is a GGA-PBE calculation of a geometry-optimized Hf2MoH structure, from Alexandria.

Results
- Size of the total moment: 0.00 μB/cell
- Space group: I-42d
- Density of states at the Fermi level: 1.16 states/eV per atom

a = 6.3111 Å, b = 6.3111 Å, c = 6.4105 Å
α = 90.00°, β = 90.00°, γ = 90.00°
Atoms (fractional coordinates):
1 Hf 0.1665 0.2500 0.1250
2 Hf 0.2500 0.6665 0.3750
3 Hf 0.2500 0.8335 0.8750
4 Hf 0.3335 0.2500 0.6250
5 Hf 0.6665 0.7500 0.6250
6 Hf 0.7500 0.1665 0.8750
7 Hf 0.7500 0.3335 0.3750
8 Hf 0.8335 0.7500 0.1250
9 Mo 0.0000 0.0000 0.5000
10 Mo 0.0000 0.5000 0.7500
11 Mo 0.5000 0.0000 0.2500
12 Mo 0.5000 0.5000 0.0000
13 H 0.0000 0.0000 0.0000
14 H 0.0000 0.5000 0.2500
15 H 0.5000 0.0000 0.7500
16 H 0.5000 0.5000 0.5000

---

Model two:
The following is a GGA-PBE calculation of a geometry-optimized Hf2MoH structure, from Alexandria.

Results
- Size of the total moment: 0.00 μB/cell
- Space group: R-3m
- Density of states at the Fermi level: 0.83 states/eV per atom

a = 3.2582 Å, b = 3.2582 Å, c = 20.2778 Å
α = 90.00°, β = 90.00°, γ = 120.00°
Atoms (fractional coordinates):
1 Hf 0.0000 0.0000 0.2336
2 Hf 0.0000 0.0000 0.7664
3 Hf 0.3333 0.6667 0.4330
4 Hf 0.3333 0.6667 0.9003
5 Hf 0.6667 0.3333 0.0997
6 Hf 0.6667 0.3333 0.5670
7 Mo 0.0000 0.0000 0.0000
8 Mo 0.3333 0.6667 0.6667
9 Mo 0.6667 0.3333 0.3333
10 H 0.0000 0.0000 0.5000
11 H 0.3333 0.6667 0.1667
12 H 0.6667 0.3333 0.8333

---

Energy relative to the most stable one, in meV per atom: model one 148; model two 0

---

Model one:
The following is a GGA-PBE calculation of a geometry-optimized Hf2MoH structure, from Alexandria.

Results
- Size of the total moment: 0.00 μB/cell
- Space group: P4/mmm
- Density of states at the Fermi level: 1.14 states/eV per atom

a = 3.2046 Å, b = 3.2046 Å, c = 6.4490 Å
α = 90.00°, β = 90.00°, γ = 90.00°
Atoms (fractional coordinates):
1 Hf 0.0000 0.0000 0.2475
2 Hf 0.0000 0.0000 0.7525
3 Mo 0.5000 0.5000 0.5000
4 H 0.5000 0.5000 0.0000

---

Model two:
The following is a GGA-PBE calculation of a geometry-optimized Hf2MoH structure, from Alexandria.

Results
- Size of the total moment: 0.00 μB/cell
- Space group: Fm-3m
- Density of states at the Fermi level: 1.02 states/eV per atom

a = 6.4294 Å, b = 6.4294 Å, c = 6.4294 Å
α = 90.00°, β = 90.00°, γ = 90.00°
Atoms (fractional coordinates):
1 Hf 0.2500 0.2500 0.2500
2 Hf 0.2500 0.2500 0.7500
3 Hf 0.2500 0.7500 0.2500
4 Hf 0.2500 0.7500 0.7500
5 Hf 0.7500 0.2500 0.2500
6 Hf 0.7500 0.2500 0.7500
7 Hf 0.7500 0.7500 0.2500
8 Hf 0.7500 0.7500 0.7500
9 Mo 0.0000 0.0000 0.0000
10 Mo 0.0000 0.5000 0.5000
11 Mo 0.5000 0.0000 0.5000
12 Mo 0.5000 0.5000 0.0000
13 H 0.0000 0.0000 0.5000
14 H 0.0000 0.5000 0.0000
15 H 0.5000 0.0000 0.0000
16 H 0.5000 0.5000 0.5000

---

Energy relative to the most stable one, in meV per atom: model one 0; model two 189

---

Model one:
The following is a GGA-PBE calculation of a geometry-optimized Hf2NiMoH structure, from Alexandria.

Results
- Size of the total moment: 0.00 μB/cell
- Space group: P4/mmm
- Density of states at the Fermi level: 0.49 states/eV per atom

a = 4.5863 Å, b = 4.5863 Å, c = 3.3634 Å
α = 90.00°, β = 90.00°, γ = 90.00°
Atoms (fractional coordinates):
1 Hf 0.0000 0.5000 0.0000
2 Hf 0.5000 0.0000 0.0000
3 Ni 0.0000 0.0000 0.5000
4 Mo 0.5000 0.5000 0.5000
5 H 0.0000 0.0000 0.0000

---

Model two:
The following is a GGA-PBE calculation of a geometry-optimized Hf2NiMoH structure, from Alexandria.

Results
- Size of the total moment: 0.00 μB/cell
- Space group: P4/mmm
- Density of states at the Fermi level: 0.66 states/eV per atom

a = 4.5615 Å, b = 4.5615 Å, c = 3.4768 Å
α = 90.00°, β = 90.00°, γ = 90.00°
Atoms (fractional coordinates):
1 Hf 0.0000 0.5000 0.0000
2 Hf 0.5000 0.0000 0.0000
3 Ni 0.0000 0.0000 0.5000
4 Mo 0.5000 0.5000 0.5000
5 H 0.5000 0.5000 0.0000

---

Model three:
The following is a GGA-PBE calculation of a geometry-optimized Hf2NiMoH structure, from Alexandria.

Results
- Size of the total moment: 0.00 μB/cell
- Space group: P4/mmm
- Density of states at the Fermi level: 1.09 states/eV per atom

a = 5.0249 Å, b = 5.0249 Å, c = 3.3427 Å
α = 90.00°, β = 90.00°, γ = 90.00°
Atoms (fractional coordinates):
1 Hf 0.0000 0.5000 0.0000
2 Hf 0.5000 0.0000 0.0000
3 Ni 0.0000 0.0000 0.5000
4 Mo 0.5000 0.5000 0.0000
5 H 0.5000 0.5000 0.5000

---

Energy relative to the most stable one, in meV per atom: model one 0; model two 71; model three 936